DFT (PBE+U) results for crystalline MnCr2GaO6 at its relaxed geometry.

Lattice parameters (Å, degrees): 5.0580 5.0566 5.4245 62.28 62.15 60.04
Last column: nearest neighbours and their distance in Å.
Fractional coordinates of all 10 atoms:
Mn 0.8199 0.8168 0.5457  6 O 1.97-2.05
Cr 0.5133 0.5138 0.4592  6 O 2.02-2.03
Cr 0.0184 0.0182 0.9458  6 O 2.00-2.06
Ga 0.3110 0.3098 0.0697  6 O 1.94-2.13
O 0.6141 0.2162 0.2498  1 Ga 1.94, 2 Cr 2.02-2.06, 1 Mn 2.05
O 0.2169 0.9201 0.2493  1 Ga 1.94, 2 Cr 2.03-2.06, 1 Mn 2.03
O 0.9189 0.6148 0.2491  1 Ga 1.95, 2 Cr 2.02-2.06, 1 Mn 2.04
O 0.4214 0.7184 0.7488  1 Mn 1.98, 2 Cr 2.00-2.03, 1 Ga 2.12
O 0.7176 0.1107 0.7492  1 Mn 1.98, 2 Cr 2.00-2.03, 1 Ga 2.12
O 0.1101 0.4226 0.7486  1 Mn 1.97, 2 Cr 2.00-2.03, 1 Ga 2.13

Symmetry ... No. 1
Crystal system ... triclinic


DFT (PBE+U) results for crystalline Tb4FeO7 at its relaxed geometry.

Lattice parameters (Å, degrees): 3.2966 5.6338 9.4958 105.74 90.00 107.01
Last column: nearest neighbours and their distance in Å.
Fractional coordinates of all 12 atoms:
Tb 0.6862 0.3724 0.7841  6 O 2.27-2.54
Tb 0.3072 0.6143 0.1957  7 O 2.25-2.51
Tb 0.9947 0.9894 0.9907  6 O 2.23-2.31
Tb 0.1136 0.2272 0.4297  6 O 2.24-2.38
Fe 0.8919 0.7838 0.5810  4 O 2.06-2.30
O 0.7479 0.4958 0.3660  1 Fe 2.19, 2 Tb 2.38
O 0.2642 0.5284 0.6473  3 Tb 2.24-2.39, 2 Fe 2.34
O 0.3390 0.6780 0.9508  5 Tb 2.31-2.54
O 0.6512 0.3024 0.0525  4 Tb 2.31-2.47
O 0.0388 0.0775 0.7751  1 Fe 2.06, 3 Tb 2.23-2.27
O 0.9534 0.9068 0.2133  4 Tb 2.25-2.28
O 0.5120 0.0241 0.5137  2 Tb 2.25, 2 Fe 2.30

Symmetry ... No. 8
Crystal system ... monoclinic


Raw total energy values (in eV/cell) by entry order: -72.303, -95.937.